VASP calculation (GGA-PBE) on crystalline YZr2Ni at its relaxed geometry.

Output
The formation energy from the elements is 9 meV/atom. The symmetry is Pm. Its final energy is -29.3 eV for the cell shown. The value obtained for the size of the total moment is 0.0 μB per cell. The calculation puts the density of states at the Fermi level at 3.6 states/eV per cell.

abc: 4.207 3.424 6.528
angles: 70.20 90.00 90.00
Element x y z (fractional)
Zr 0.500 0.349 0.260
Zr 0.000 0.996 0.049
Y 0.500 0.697 0.716
Ni 0.000 0.457 0.476